# 1
# ZnIn2Br

An optimized crystal structure of ZnIn2Br (GGA-PBE, Alexandria via LeMat-Bulk).

Output
The total energy is -2.241 eV per atom. For the formation energy from raw total energies, the calculation gives -0.135 eV per atom. The calculation puts the magnetic moment at 0.0 μB per formula unit. For the relative energy among the computed polymorphs, the calculation gives 0.04 eV/f.u.

abc: 3.9181 3.9181 24.5754
angles: 90.00 90.00 120.00
Element x y z (fractional)
Zn 0.0000 0.0000 0.0000
Zn 0.3333 0.6667 0.6667
Zn 0.6667 0.3333 0.3333
In 0.0000 0.0000 0.2588
In 0.0000 0.0000 0.7412
In 0.3333 0.6667 0.4078
In 0.3333 0.6667 0.9255
In 0.6667 0.3333 0.0745
In 0.6667 0.3333 0.5922
Br 0.0000 0.0000 0.5000
Br 0.3333 0.6667 0.1667
Br 0.6667 0.3333 0.8333


# 2
# MgNb2Si2

An optimized crystal structure of MgNb2Si2 (GGA-PBE, Alexandria via LeMat-Bulk).

Output
The total energy is -6.640 eV per atom. For the formation energy from raw total energies, the calculation gives -0.124 eV per atom. The calculation puts the magnetic moment at 0.0 μB per formula unit. For the relative energy among the computed polymorphs, the calculation gives 1.65 eV/f.u.

abc: 7.4655 7.4655 3.1349
angles: 90.00 90.00 90.00
Element x y z (fractional)
Mg 0.0000 0.0000 0.0000
Mg 0.5000 0.5000 0.0000
Nb 0.1278 0.3722 0.0000
Nb 0.3722 0.8722 0.0000
Nb 0.6278 0.1278 0.0000
Nb 0.8722 0.6278 0.0000
Si 0.1661 0.6661 0.5000
Si 0.3339 0.1661 0.5000
Si 0.6661 0.8339 0.5000
Si 0.8339 0.3339 0.5000


# 3
# Zr2ZnC

An optimized crystal structure of Zr2ZnC (GGA-PBE, Alexandria via LeMat-Bulk).

Output
The total energy is -7.486 eV per atom. The formation energy from the elements is -587 meV/atom. The calculation puts the magnetic moment at 0.0 μB per formula unit.

abc: 3.3233 17.3825 4.6012
angles: 90.00 90.00 90.00
Element x y z (fractional)
Zr 0.0000 0.1062 0.2500
Zr 0.0000 0.2899 0.2500
Zr 0.0000 0.7101 0.7500
Zr 0.0000 0.8938 0.7500
Zr 0.5000 0.2101 0.7500
Zr 0.5000 0.3938 0.7500
Zr 0.5000 0.6062 0.2500
Zr 0.5000 0.7899 0.2500
Zn 0.0000 0.4590 0.2500
Zn 0.0000 0.5410 0.7500
Zn 0.5000 0.0410 0.7500
Zn 0.5000 0.9590 0.2500
C 0.0000 0.3039 0.7500
C 0.0000 0.6961 0.2500
C 0.5000 0.1961 0.2500
C 0.5000 0.8039 0.7500


# 4
# SrTlCr2Sn

An optimized crystal structure of SrTlCr2Sn (GGA-PBE, Alexandria via LeMat-Bulk).

Output
The total energy is -3.839 eV per atom. The formation energy from the elements is 1621 meV/atom. The calculation puts the magnetic moment at 9.5 μB per formula unit.

abc: 5.6192 5.6192 5.9220
angles: 90.00 90.00 90.00
Element x y z (fractional)
Sr 0.0000 0.0000 0.0000
Tl 0.0000 0.0000 0.5000
Cr 0.0000 0.5000 0.0000
Cr 0.5000 0.0000 0.0000
Sn 0.5000 0.5000 0.5000


# 5
# Eu2SnH

An optimized crystal structure of Eu2SnH (GGA-PBE, Alexandria via LeMat-Bulk).

Output
The total energy is -7.389 eV per atom. The calculation puts the magnetic moment at 14.9 μB per formula unit. For the relative energy among the computed polymorphs, the calculation gives 0.00 eV/f.u.

abc: 3.7847 3.7847 24.1292
angles: 90.00 90.00 120.00
Element x y z (fractional)
Eu 0.0000 0.0000 0.2285
Eu 0.0000 0.0000 0.7715
Eu 0.3333 0.6667 0.4382
Eu 0.3333 0.6667 0.8951
Eu 0.6667 0.3333 0.1049
Eu 0.6667 0.3333 0.5618
Sn 0.0000 0.0000 0.0000
Sn 0.3333 0.6667 0.6667
Sn 0.6667 0.3333 0.3333
H 0.0000 0.0000 0.5000
H 0.3333 0.6667 0.1667
H 0.6667 0.3333 0.8333


# 6
# ScTiTlCu

An optimized crystal structure of ScTiTlCu (GGA-PBE, Alexandria via LeMat-Bulk).

Output
The total energy is -5.207 eV per atom. The formation energy from the elements is -35 meV/atom. The calculation puts the magnetic moment at 1.3 μB per formula unit.

abc: 6.7300 6.7300 6.7300
angles: 90.00 90.00 90.00
Element x y z (fractional)
Sc 0.0000 0.0000 0.0000
Sc 0.0000 0.5000 0.5000
Sc 0.5000 0.0000 0.5000
Sc 0.5000 0.5000 0.0000
Ti 0.0000 0.0000 0.5000
Ti 0.0000 0.5000 0.0000
Ti 0.5000 0.0000 0.0000
Ti 0.5000 0.5000 0.5000
Tl 0.2500 0.2500 0.2500
Tl 0.2500 0.7500 0.7500
Tl 0.7500 0.2500 0.7500
Tl 0.7500 0.7500 0.2500
Cu 0.2500 0.2500 0.7500
Cu 0.2500 0.7500 0.2500
Cu 0.7500 0.2500 0.2500
Cu 0.7500 0.7500 0.7500


# 7
# EuPuGaBi

An optimized crystal structure of EuPuGaBi (GGA-PBE, Alexandria via LeMat-Bulk).

Output
The total energy is -8.208 eV per atom. The formation energy from the elements is -329 meV/atom. The calculation puts the magnetic moment at 1.2 μB per formula unit.

abc: 7.6853 7.6853 7.6853
angles: 90.00 90.00 90.00
Element x y z (fractional)
Eu 0.0000 0.0000 0.0000
Eu 0.0000 0.5000 0.5000
Eu 0.5000 0.0000 0.5000
Eu 0.5000 0.5000 0.0000
Pu 0.0000 0.0000 0.5000
Pu 0.0000 0.5000 0.0000
Pu 0.5000 0.0000 0.0000
Pu 0.5000 0.5000 0.5000
Ga 0.2500 0.2500 0.7500
Ga 0.2500 0.7500 0.2500
Ga 0.7500 0.2500 0.2500
Ga 0.7500 0.7500 0.7500
Bi 0.2500 0.2500 0.2500
Bi 0.2500 0.7500 0.7500
Bi 0.7500 0.2500 0.7500
Bi 0.7500 0.7500 0.2500


# 8
# Tb2Ce3HoAs6

An optimized crystal structure of Tb2Ce3HoAs6 (GGA-PBE, Alexandria via LeMat-Bulk).

Output
The total energy is -6.444 eV per atom. The formation energy from the elements is -1483 meV/atom. The calculation puts the magnetic moment at 1.9 μB per formula unit.

abc: 7.2280 7.2280 7.2160
angles: 99.62 99.62 120.00
Element x y z (fractional)
Tb 0.1665 0.8335 0.0000
Tb 0.8335 0.1665 0.0000
Ce 0.0000 0.0000 0.5000
Ce 0.3330 0.6670 0.5000
Ce 0.6670 0.3330 0.5000
Ho 0.5000 0.5000 0.0000
As 0.0860 0.4181 0.7540
As 0.2503 0.2503 0.2465
As 0.4181 0.0860 0.7540
As 0.5819 0.9140 0.2460
As 0.7497 0.7497 0.7535
As 0.9140 0.5819 0.2460


# 9
# Rb3Ca2AgF9

An optimized crystal structure of Rb3Ca2AgF9 (GGA-PBE, Alexandria via LeMat-Bulk).

Output
The total energy is -4.670 eV per atom. For the formation energy from raw total energies, the calculation gives -2.897 eV per atom. The calculation puts the magnetic moment at 1.0 μB per formula unit.

abc: 6.3591 6.3591 7.8040
angles: 90.00 90.00 120.00
Element x y z (fractional)
Rb 0.0000 0.0000 0.0000
Rb 0.3333 0.6667 0.6573
Rb 0.6667 0.3333 0.3427
Ca 0.3333 0.6667 0.1644
Ca 0.6667 0.3333 0.8356
Ag 0.0000 0.0000 0.5000
F 0.0000 0.5000 0.0000
F 0.1672 0.3345 0.3339
F 0.1672 0.8328 0.3339
F 0.3345 0.1672 0.6661
F 0.5000 0.0000 0.0000
F 0.5000 0.5000 0.0000
F 0.6655 0.8328 0.3339
F 0.8328 0.1672 0.6661
F 0.8328 0.6655 0.6661


# 10
# SrAl4IrPd2

An optimized crystal structure of SrAl4IrPd2 (GGA-PBE, Alexandria via LeMat-Bulk).

Output
The total energy is -5.198 eV per atom. The formation energy from the elements is -711 meV/atom. The calculation puts the magnetic moment at 0.0 μB per formula unit.

abc: 9.8630 9.8630 9.8630
angles: 25.08 25.08 25.08
Element x y z (fractional)
Sr 0.0000 0.0000 0.0000
Al 0.1372 0.1372 0.1372
Al 0.4107 0.4107 0.4107
Al 0.5893 0.5893 0.5893
Al 0.8628 0.8628 0.8628
Ir 0.5000 0.5000 0.5000
Pd 0.2303 0.2303 0.2303
Pd 0.7697 0.7697 0.7697